[1]
Material: BaTc2Ru
Method: DFT, GGA-PBEsol
State: relaxed

Lattice parameters (Å, degrees): 2.8582 5.0848 5.8716 115.66 104.09 90.00
With the nearest neighbours (Å) after each atom.
Fractional coordinates of all 4 atoms:
Ru (0.0000, 0.5000, 0.0000)  4 Tc 2.60, 2 Ru 2.86
Ba (0.5000, 0.0000, 0.0000)  2 Ba 2.86, 4 Ru 2.92
Tc (0.2866, 0.2866, 0.5733)  2 Ru 2.60, 2 Tc 2.86
Tc (0.7134, 0.7134, 0.4267)  2 Ru 2.60, 2 Tc 2.86

## Properties
Crystal system: orthorhombic
Density of states at the Fermi level, states/eV/f.u.: 4.84

---

[2]
Material: BaTc2Ru
Method: DFT, GGA-PBEsol
State: relaxed

Lattice parameters (Å, degrees): 2.8725 5.2761 5.5022 114.57 98.29 104.10
With the nearest neighbours (Å) after each atom.
Fractional coordinates of all 4 atoms:
Ba (0.0000, 0.5000, 0.0000)  2 Ru 2.68, 2 Ba 2.87, 4 Tc 2.91
Tc (0.0000, 0.0000, 0.5000)  4 Tc 2.68-2.87, 2 Ru 2.91, 2 Ba 2.91
Tc (0.5000, 0.5000, 0.5000)  4 Tc 2.68-2.87, 2 Ba 2.91, 2 Ru 2.91
Ru (0.5000, 0.0000, 0.0000)  2 Ba 2.68, 2 Ru 2.87, 4 Tc 2.91

## Properties
Crystal system: monoclinic
Density of states at the Fermi level, states/eV/f.u.: 5.83

---

[3]
Material: BaTcRu2
Method: DFT, GGA-PBEsol
State: relaxed

Lattice parameters (Å, degrees): 2.8468 3.6269 7.4308 90.00 90.00 90.00
With the nearest neighbours (Å) after each atom.
Fractional coordinates of all 4 atoms:
Tc (0.0000, 0.0000, 0.4124)  5 Ru 2.48-2.59
Ru (0.0000, 0.0000, 0.0788)  1 Tc 2.48, 4 Ru 2.65
Ba (0.5000, 0.5000, 0.7549)  2 Ba 2.85
Ru (0.5000, 0.5000, 0.2540)  4 Tc 2.59, 6 Ru 2.65-2.85

## Properties
Crystal system: orthorhombic
Density of states at the Fermi level, states/eV/f.u.: 5.34

---

[4]
Material: BaTc2Ru
Method: DFT, GGA-PBEsol
State: relaxed

Lattice parameters (Å, degrees): 3.0042 4.8427 4.8614 90.00 90.00 90.00
With the nearest neighbours (Å) after each atom.
Fractional coordinates of all 4 atoms:
Tc (0.0000, 0.0000, 0.0000)  6 Tc 2.85-3.00, 4 Ba 2.86
Ru (0.0000, 0.5000, 0.5000)  4 Ba 2.85, 4 Tc 2.86, 2 Ru 3.00
Tc (0.5000, 0.5000, 0.0000)  6 Tc 2.85-3.00, 4 Ru 2.86
Ba (0.5000, 0.0000, 0.5000)  4 Ru 2.85, 4 Tc 2.86, 2 Ba 3.00

## Properties
Crystal system: orthorhombic
Density of states at the Fermi level, states/eV/f.u.: 6.22

---

[5]
Material: BaTc2Ru
Method: DFT, GGA-PBEsol
State: relaxed

Lattice parameters (Å, degrees): 3.0844 4.6837 6.4042 103.40 90.00 109.22
With the nearest neighbours (Å) after each atom.
Fractional coordinates of all 4 atoms:
Tc (0.9980, 0.9960, 0.9943)  2 Tc 2.41, 2 Ru 2.49
Ru (0.7181, 0.4362, 0.1450)  4 Tc 2.49-2.54
Ba (0.4972, 0.9943, 0.4940)  2 Ba 3.08, 3 Ru 3.28-3.31, 3 Tc 3.37-3.41
Tc (0.2868, 0.5735, 0.8667)  2 Tc 2.41, 2 Ru 2.54

## Properties
Crystal system: monoclinic
Density of states at the Fermi level, states/eV/f.u.: 5.08

---

[6]
Material: BaTcRu2
Method: DFT, GGA-PBEsol
State: relaxed

Lattice parameters (Å, degrees): 4.6423 4.6423 4.6423 60.00 60.00 60.00
With the nearest neighbours (Å) after each atom.
Fractional coordinates of all 4 atoms:
Ru (0.7500, 0.7500, 0.7500)  4 Ba 2.84, 4 Tc 2.84
Tc (0.5000, 0.5000, 0.5000)  8 Ru 2.84
Ru (0.2500, 0.2500, 0.2500)  4 Tc 2.84, 4 Ba 2.84
Ba (0.0000, 0.0000, 0.0000)  8 Ru 2.84

## Properties
Crystal system: cubic
Density of states at the Fermi level, states/eV/f.u.: 6.31

---

[7]
Material: Ba2TcRu
Method: DFT, GGA-PBEsol
State: relaxed

Lattice parameters (Å, degrees): 5.1984 5.1984 5.1984 60.00 60.00 60.00
With the nearest neighbours (Å) after each atom.
Fractional coordinates of all 4 atoms:
Ba (0.2500, 0.2500, 0.2500)  4 Tc 3.18, 4 Ru 3.18
Tc (0.5000, 0.5000, 0.5000)  8 Ba 3.18
Ba (0.7500, 0.7500, 0.7500)  4 Tc 3.18, 4 Ru 3.18
Ru (0.0000, 0.0000, 0.0000)  8 Ba 3.18

## Properties
Crystal system: cubic
Density of states at the Fermi level, states/eV/f.u.: 7.01

---

[8]
Material: BaTc2Ru
Method: DFT, GGA-PBEsol
State: relaxed

Lattice parameters (Å, degrees): 2.9273 3.4538 7.7011 90.00 91.27 90.00
With the nearest neighbours (Å) after each atom.
Fractional coordinates of all 4 atoms:
Ba (0.9817, 0.0000, 0.5043)  2 Ba 2.93
Ru (0.4881, 0.5000, 0.8287)  5 Tc 2.54-2.71
Tc (0.4799, 0.5000, 0.1653)  4 Tc 2.47-2.73, 1 Ru 2.59
Tc (0.0503, 0.0000, 0.0017)  4 Tc 2.47-2.73, 4 Ru 2.54-2.71

## Properties
Crystal system: monoclinic
Density of states at the Fermi level, states/eV/f.u.: 3.81

---

| no. | ΔH_f (0 K) (eV per atom) | E (eV per atom) | size of the total moment (Bohr magnetons per cell) |
| --- | --- | --- | --- |
| 1 | 1.086 | -7.627 | 0.001 |
| 2 | 1.347 | -7.367 | 0.000 |
| 3 | 0.730 | -7.710 | 0.000 |
| 4 | 1.368 | -7.346 | 0.000 |
| 5 | 0.744 | -7.969 | 0.000 |
| 6 | 1.232 | -7.208 | 0.906 |
| 7 | 1.344 | -5.090 | 2.737 |
| 8 | 0.667 | -8.046 | 0.000 |